VASP calculation (PBE) on crystalline CoTcSb2 at its relaxed geometry.

Unit cell a=5.882 b=5.882 c=11.380 alpha=90.00 beta=90.00 gamma=90.00
Space group I-42d (No. 122)
Asymmetric unit:
Co (0.000, 0.000, 0.000) x4
Tc (0.000, 0.000, 0.500) x4
Sb (0.231, 0.250, 0.125) x8

The value obtained for the total magnetic moment is 0.000 μB/atom. The value obtained for the polymorph energy (0 for the lowest one) is 2.11 eV/f.u. For the uncorrected energy, the calculation gives -92.754 eV/cell.


VASP calculation (PBE) on crystalline LaMn2AuS at its relaxed geometry.

Unit cell a=5.535 b=5.535 c=5.384 alpha=90.00 beta=90.00 gamma=90.00
Space group P4/mmm (No. 123)
Asymmetric unit:
La (0.000, 0.000, 0.000) x1
Mn (0.000, 0.500, 0.000) x2
Au (0.000, 0.000, 0.500) x1
S (0.500, 0.500, 0.500) x1

The value obtained for the total magnetic moment is 1.679 μB/atom. For the uncorrected energy, the calculation gives -23.083 eV/cell.


VASP calculation (PBE) on crystalline CrFeAg2 at its relaxed geometry.

Unit cell a=2.7432 b=2.7432 c=27.3899 alpha=90.00 beta=90.00 gamma=120.00
Space group R3m (No. 160, hexagonal axes)
Asymmetric unit:
Cr (0.0000, 0.0000, 0.0000) x3
Fe (0.0000, 0.0000, 0.7330) x3
Ag (0.0000, 0.0000, 0.2459) x3
Ag (0.0000, 0.0000, 0.4854) x3

The value obtained for the total magnetic moment is 0.025 μB/atom. The formation energy is 38 kJ per mole of atoms. The value obtained for the polymorph energy (0 for the lowest one) is 0.26 eV/f.u. For the uncorrected energy, the calculation gives -66.662 eV/cell.


VASP calculation (PBE) on crystalline KCaY at its relaxed geometry.

Unit cell a=3.612 b=5.997 c=11.870 alpha=90.00 beta=90.00 gamma=90.00
Space group Imm2 (No. 44)
Asymmetric unit:
K (0.000, 0.000, 0.000) x2
Ca (0.000, 0.000, 0.322) x2
Y (0.000, 0.000, 0.674) x2

The value obtained for the total magnetic moment is 0.000 μB/atom. The formation energy is 40 kJ per mole of atoms. The value obtained for the polymorph energy (0 for the lowest one) is 0.44 eV/f.u. For the uncorrected energy, the calculation gives -16.628 eV/cell.


VASP calculation (PBE) on crystalline Nd3InCl at its relaxed geometry.

Unit cell a=5.345 b=5.345 c=5.345 alpha=90.00 beta=90.00 gamma=90.00
Space group Pm-3m (No. 221)
Asymmetric unit:
Nd (0.000, 0.000, 0.500) x3
In (0.500, 0.500, 0.500) x1
Cl (0.000, 0.000, 0.000) x1

The value obtained for the total magnetic moment is 0.000 μB/atom. For the uncorrected energy, the calculation gives -21.938 eV/cell.


VASP calculation (PBE) on crystalline Ca2AgGe4Ir3 at its relaxed geometry.

Unit cell a=4.320 b=4.320 c=10.228 alpha=90.00 beta=90.00 gamma=90.00
Space group P-4m2 (No. 115)
Asymmetric unit:
Ca (0.000, 0.500, 0.243) x2
Ag (0.000, 0.000, 0.500) x1
Ge (0.000, 0.000, 0.000) x1
Ge (0.000, 0.500, 0.637) x2
Ge (0.500, 0.500, 0.000) x1
Ir (0.000, 0.500, 0.876) x2
Ir (0.500, 0.500, 0.500) x1

The value obtained for the total magnetic moment is 0.000 μB/atom. The formation energy is -47 kJ per mole of atoms. For the uncorrected energy, the calculation gives -56.822 eV/cell.


VASP calculation (PBE) on crystalline CsHfZr2Rh at its relaxed geometry.

Unit cell a=5.150 b=5.150 c=5.392 alpha=90.00 beta=90.00 gamma=90.00
Space group P4/mmm (No. 123)
Asymmetric unit:
Cs (0.000, 0.000, 0.000) x1
Hf (0.500, 0.500, 0.000) x1
Zr (0.000, 0.500, 0.500) x2
Rh (0.000, 0.000, 0.500) x1

The value obtained for the total magnetic moment is 0.000 μB/atom. The formation energy is 111 kJ per mole of atoms. For the uncorrected energy, the calculation gives -29.488 eV/cell.


VASP calculation (PBE) on crystalline PrY2UAs4 at its relaxed geometry.

Unit cell a=7.203 b=4.147 c=7.208 alpha=90.00 beta=109.20 gamma=90.00
Space group P2/m (No. 10)
Asymmetric unit:
Pr (0.000, 0.000, 0.000) x1
Y (0.500, 0.000, 0.500) x1
Y (0.500, 0.500, 0.000) x1
U (0.000, 0.500, 0.500) x1
As (0.251, 0.000, 0.743) x2
As (0.254, 0.500, 0.261) x2

The value obtained for the total magnetic moment is 0.299 μB/atom. The formation energy is -128 kJ per mole of atoms. For the uncorrected energy, the calculation gives -58.169 eV/cell.


Number 1: calculated volume 24.605 A^3/atom. Number 2: calculated volume 32.989 A^3/atom. Number 3: calculated volume 14.875 A^3/atom. Number 4: calculated volume 42.858 A^3/atom. Number 5: calculated volume 30.538 A^3/atom. Number 6: calculated volume 19.091 A^3/atom. Number 7: calculated volume 28.601 A^3/atom. Number 8: calculated volume 25.418 A^3/atom.